A plane-wave DFT calculation with PBE was carried out for a relaxed structure of VZnB.

Lattice parameters (Å, degrees): 4.1359 4.1766 4.3041 103.35 98.46 90.01
Sites, in units of the cell vectors:
1 V 0.0258 0.3023 0.1956
2 V 0.9742 0.6977 0.8044
3 Zn 0.4763 0.2151 0.7900
4 Zn 0.5237 0.7849 0.2100
5 B 0.0389 0.8361 0.3520
6 B 0.9611 0.1639 0.6480

Properties
- energy of formation (eV/atom) = -0.053
- symmetry = P-1, No. 2

***

A plane-wave DFT calculation with PBE was carried out for a relaxed structure of SrSi6Rh12.

Lattice parameters (Å, degrees): 6.9780 6.9780 6.9780 105.19 105.19 105.19
Sites, in units of the cell vectors:
1 Sr 0.0000 0.0000 0.0000
2 Si 0.2430 0.2430 0.6805
3 Si 0.2430 0.6805 0.2430
4 Si 0.3195 0.7570 0.7570
5 Si 0.6805 0.2430 0.2430
6 Si 0.7570 0.3195 0.7570
7 Si 0.7570 0.7570 0.3195
8 Rh 0.1316 0.5000 0.8684
9 Rh 0.1316 0.8684 0.5000
10 Rh 0.1867 0.4454 0.4454
11 Rh 0.4454 0.1867 0.4454
12 Rh 0.4454 0.4454 0.1867
13 Rh 0.5000 0.1316 0.8684
14 Rh 0.5000 0.8684 0.1316
15 Rh 0.5546 0.5546 0.8133
16 Rh 0.5546 0.8133 0.5546
17 Rh 0.8133 0.5546 0.5546
18 Rh 0.8684 0.1316 0.5000
19 Rh 0.8684 0.5000 0.1316

Properties
- E_form (uncorrected) (eV/f.u.) = -13.82
- symmetry = R-3m, No. 166

***

A plane-wave DFT calculation with PBE was carried out for a relaxed structure of CsTl9Pt2.

Lattice parameters (Å, degrees): 9.5632 9.5632 4.6667 90.00 90.00 120.00
Sites, in units of the cell vectors:
1 Cs 0.0000 0.0000 0.0000
2 Tl 0.0000 0.5000 0.0000
3 Tl 0.2096 0.4191 0.5000
4 Tl 0.2096 0.7904 0.5000
5 Tl 0.4191 0.2096 0.5000
6 Tl 0.5000 0.0000 0.0000
7 Tl 0.5000 0.5000 0.0000
8 Tl 0.5809 0.7904 0.5000
9 Tl 0.7904 0.2096 0.5000
10 Tl 0.7904 0.5809 0.5000
11 Pt 0.3333 0.6667 0.0000
12 Pt 0.6667 0.3333 0.0000

Properties
- energy of formation (eV/atom) = -0.101
- symmetry = P6/mmm, No. 191

***

A plane-wave DFT calculation with PBE was carried out for a relaxed structure of KTl2AsBr.

Lattice parameters (Å, degrees): 5.5735 5.5735 6.6960 90.00 90.00 90.00
Sites, in units of the cell vectors:
1 K 0.0000 0.0000 0.0000
2 Tl 0.0000 0.5000 0.5000
3 Tl 0.5000 0.0000 0.5000
4 As 0.0000 0.0000 0.5000
5 Br 0.5000 0.5000 0.0000

Properties
- E_form (uncorrected) (eV/f.u.) = -1.81
- symmetry = P4/mmm, No. 123

***

Calculated DFT total energy, -5.74 -7.17 -2.95 -2.79 eV/atom (same order as the records).